No. 1
Material: Rb2Cl13
Method: DFT, GGA-PBE
State: optimized geometry

Uncorrected energy: -2.22 eV per atom

Lattice parameters (Å, degrees): 11.034 7.081 14.905 91.71 41.84 64.95
Atoms (fractional coordinates):
Cl  0.131  0.431  0.064
Cl  0.736  0.839  0.763
Cl  0.134  0.182  0.809
Cl  0.507  0.321  0.363
Cl  0.869  0.569  0.936
Cl  0.805  0.143  0.729
Cl  0.493  0.679  0.637
Cl  0.787  0.495  0.715
Cl  0.264  0.161  0.237
Cl  0.195  0.857  0.271
Cl  0.213  0.505  0.285
Cl  0.500  0.500  0.500
Cl  0.866  0.818  0.191
Rb  0.394  0.860  0.369
Rb  0.606  0.140  0.631

No. 2
Material: Ac2Zn4Ag3Pd
Method: DFT, GGA-PBE
State: optimized geometry

Uncorrected energy: -3.04 eV per atom
Energy relative to the elements: -332 meV/atom

Lattice parameters (Å, degrees): 4.649 4.649 10.223 90.00 90.00 90.00
Atoms (fractional coordinates):
Zn  0.500  0.500  0.000
Zn  0.000  0.000  0.000
Zn  0.500  0.000  0.618
Zn  0.000  0.500  0.382
Ag  0.000  0.000  0.500
Ag  0.000  0.500  0.127
Ag  0.500  0.000  0.873
Pd  0.500  0.500  0.500
Ac  0.500  0.000  0.256
Ac  0.000  0.500  0.744